Entry 1:
Tb4Pm3Tm3 | PBE | optimized geometry

abc: 3.701 9.372 9.372
angles: 90.35 90.00 90.00
Fractional positions:
Pm: 0.500 0.327 0.328
Pm: 0.500 0.672 0.673
Pm: 0.500 0.828 0.172
Tm: 0.000 0.002 0.506
Tm: 0.000 0.494 0.998
Tm: 0.500 0.173 0.827
Tb: 0.000 0.876 0.871
Tb: 0.000 0.371 0.629
Tb: 0.000 0.628 0.372
Tb: 0.000 0.129 0.124

Properties
The calculation puts the total energy at -45.14 eV/f.u. As for the density of states at the Fermi level: 8.003 states/eV/cell. The crystal system is orthorhombic. As for the symmetry: Amm2, No. 38. For the formation energy, the calculation gives 0.1047 eV/atom.

=====

Entry 2:
BaFe2Pb | PBE | optimized geometry

abc: 3.375 3.375 8.133
angles: 90.00 90.00 90.00
Last column: magnetic moment on the atom in μB.
Fractional positions:
Fe: 0.500 0.500 0.195  2.68
Fe: 0.000 0.000 0.090  2.68
Pb: 0.000 0.000 0.428  -0.05
Ba: 0.500 0.500 0.787  -0.07

Properties
The calculation puts the total energy at -21.15 eV/f.u. As for the density of states at the Fermi level: 4.138 states/eV/cell. The crystal system is tetragonal. As for the symmetry: P4mm, No. 99. For the formation energy, the calculation gives 0.3528 eV/atom.

=====

Entry 3:
TlCdHg4 | PBE | optimized geometry

abc: 6.214 6.214 6.214
angles: 60.00 60.00 60.00
Fractional positions:
Hg: 0.625 0.125 0.625
Hg: 0.125 0.625 0.625
Hg: 0.625 0.625 0.625
Hg: 0.625 0.625 0.125
Cd: 0.000 0.000 0.000
Tl: 0.250 0.250 0.250

Properties
The calculation puts the total energy at -4.06 eV/f.u. As for the density of states at the Fermi level: 2.665 states/eV/cell. The crystal system is cubic. As for the symmetry: F-43m, No. 216. For the formation energy, the calculation gives 0.0717 eV/atom.

=====

Entry 4:
CaYZr2 | PBE | optimized geometry

abc: 11.597 11.597 11.597
angles: 16.58 16.58 16.58
Fractional positions:
Zr: 0.496 0.496 0.496
Zr: 0.004 0.004 0.004
Y: 0.750 0.750 0.750
Ca: 0.250 0.250 0.250

Properties
The calculation puts the total energy at -24.56 eV/f.u. As for the density of states at the Fermi level: 5.751 states/eV/cell. The crystal system is trigonal. As for the symmetry: R-3m, No. 166. For the formation energy, the calculation gives 0.2502 eV/atom.

=====

Entry 5:
LiAcRu2O7 | PBE | optimized geometry

abc: 3.910 3.910 10.008
angles: 101.27 101.27 90.00
Last column: magnetic moment on the atom in μB.
Fractional positions:
Li: 0.250 0.750 0.500  0.02
Ac: 0.500 0.500 0.000  0.03
O: 0.099 0.599 0.199  0.15
O: 0.000 0.000 0.000  0.07
O: 0.209 0.209 0.417  0.41
O: 0.906 0.406 0.812  0.10
O: 0.401 0.901 0.801  0.15
O: 0.594 0.094 0.188  0.10
O: 0.791 0.791 0.583  0.41
Ru: 0.885 0.885 0.770  1.56
Ru: 0.115 0.115 0.230  1.56

Properties
The calculation puts the total energy at -76.70 eV/f.u. As for the density of states at the Fermi level: 2.237 states/eV/cell. The uncorrected formation energy comes out at -1.583 eV per atom. The crystal system is tetragonal. As for the symmetry: I-4m2, No. 119.

=====

Entry 6:
ZrTl2 | PBE | optimized geometry

abc: 6.978 6.978 6.978
angles: 151.88 151.88 40.19
Fractional positions:
Tl: 0.658 0.658 0.000
Tl: 0.342 0.342 0.000
Zr: 0.000 0.000 0.000

Properties
The calculation puts the total energy at -12.80 eV/f.u. As for the density of states at the Fermi level: 1.811 states/eV/cell. The crystal system is tetragonal. As for the symmetry: I4/mmm, No. 139. For the formation energy, the calculation gives 0.1601 eV/atom.

=====

Entry 7:
VCo4Os | PBE | optimized geometry

abc: 4.649 4.649 4.649
angles: 60.00 60.00 60.00
Last column: magnetic moment on the atom in μB.
Fractional positions:
Co: 0.625 0.625 0.125  1.48
Co: 0.125 0.625 0.625  1.48
Co: 0.625 0.125 0.625  1.48
Co: 0.625 0.625 0.625  1.48
V: 0.250 0.250 0.250  -0.66
Os: 0.000 0.000 0.000  0.62

Properties
The calculation puts the total energy at -48.60 eV/f.u. As for the density of states at the Fermi level: 8.365 states/eV/cell. The crystal system is cubic. As for the symmetry: F-43m, No. 216. For the formation energy, the calculation gives 0.0295 eV/atom.

=====

Entry 8:
CaCe2Rh | PBE | optimized geometry

abc: 3.941 3.941 9.786
angles: 78.38 78.38 60.00
Last column: magnetic moment on the atom in μB.
Fractional positions:
Ce: 0.724 0.724 0.829  0.89
Ce: 0.276 0.276 0.171  0.89
Ca: 0.500 0.500 0.500  0.06
Rh: 0.000 0.000 0.000  -0.07

Properties
The calculation puts the total energy at -22.21 eV/f.u. As for the density of states at the Fermi level: 11.271 states/eV/cell. The crystal system is trigonal. As for the symmetry: R-3m, No. 166. For the formation energy, the calculation gives -0.2461 eV/atom.

=====

Entry 9:
Y2Te2Au | PBE | optimized geometry

abc: 8.198 8.198 4.099
angles: 90.00 90.00 90.00
Last column: magnetic moment on the atom in μB.
Fractional positions:
Y: 0.653 0.153 0.000  0.18
Y: 0.347 0.847 0.000  0.18
Y: 0.153 0.347 0.000  0.17
Y: 0.847 0.653 0.000  0.17
Au: 0.500 0.500 0.000  0.01
Au: 0.000 0.000 0.000  0.01
Te: 0.351 0.149 0.500  -0.01
Te: 0.149 0.649 0.500  -0.01
Te: 0.649 0.851 0.500  -0.01
Te: 0.851 0.351 0.500  -0.01

Properties
The calculation puts the total energy at -27.84 eV/f.u. As for the density of states at the Fermi level: 5.208 states/eV/cell. The uncorrected formation energy comes out at -1.070 eV per atom. The crystal system is tetragonal. As for the symmetry: P4/mbm, No. 127.

=====

Entry 10:
CaHgW2 | PBE | optimized geometry

abc: 4.767 4.767 4.767
angles: 60.00 60.00 60.00
Fractional positions:
Hg: 0.750 0.750 0.750
W: 0.000 0.000 0.000
W: 0.250 0.250 0.250
Ca: 0.500 0.500 0.500

Properties
The calculation puts the total energy at -25.08 eV/f.u. As for the density of states at the Fermi level: 4.089 states/eV/cell. The crystal system is cubic. As for the symmetry: F-43m, No. 216. For the formation energy, the calculation gives 0.7836 eV/atom.

=====

Entry 11:
PuThInAu | PBE | optimized geometry

abc: 5.326 5.326 5.326
angles: 60.00 60.00 60.00
Last column: magnetic moment on the atom in μB.
Fractional positions:
Pu: 0.250 0.250 0.250  5.50
Au: 0.000 0.000 0.000  0.07
Th: 0.750 0.750 0.750  0.30
In: 0.500 0.500 0.500  -0.01

Properties
The calculation puts the total energy at -28.82 eV/f.u. As for the density of states at the Fermi level: 11.325 states/eV/cell. The crystal system is cubic. As for the symmetry: F-43m, No. 216. For the formation energy, the calculation gives -0.2632 eV/atom.

=====

Entry 12:
Ba2Tl2InPb4 | PBE | optimized geometry

abc: 7.643 7.643 7.643
angles: 90.91 119.48 119.48
Fractional positions:
Pb: 0.000 0.718 0.282
Pb: 0.564 0.282 0.282
Pb: 0.436 0.718 0.718
Pb: 0.000 0.282 0.718
Ba: 0.500 0.750 0.250
Ba: 0.500 0.250 0.750
Tl: 0.000 0.714 0.714
Tl: 0.000 0.286 0.286
In: 0.000 0.000 0.000

Properties
The calculation puts the total energy at -28.55 eV/f.u. As for the density of states at the Fermi level: 4.258 states/eV/cell. The crystal system is tetragonal. As for the symmetry: I4/mmm, No. 139. For the formation energy, the calculation gives -0.2671 eV/atom.

=====

The calculation returns the following total magnetization values, one per record and in order: 0.0, 5.1, 0.0, 0.0, 5.0, 0.0, 5.8, 2.6, 1.3, 0.0, 6.5, 0.0 μB per cell.